{"formula": "RbAlO2", "functional": "PBE-GGA", "state": "optimized geometry", "e_form_raw_ev_per_atom": -0.31, "lattice_angstrom": [[-4.1538, 4.4154, 0.7077], [-1.1060, -0.0785, -6.0018], [-4.7611, 0.0962, -2.2272]], "species": ["Al", "O", "Rb", "O", "Rb", "O", "O", "Al"], "fractional_positions": [[0.2500, 0.2500, 0.5000], [0.2500, 0.7500, 0.0000], [0.7500, 0.2500, 0.5000], [0.7500, 0.7500, 0.0000], [0.2500, 0.7500, 0.5000], [0.2500, 0.2500, 0.0000], [0.7500, 0.2500, 0.0000], [0.7500, 0.7500, 0.5000]]}

=====

{"formula": "Ho2MgBi", "functional": "PBE-GGA", "state": "optimized geometry", "formation_enthalpy_0k_ev_per_atom": -0.341, "e_above_lowest_polymorph_ev_per_atom": 0.045, "lattice_angstrom": [[4.2502, 0.0000, 0.0000], [0.0000, 5.0818, 0.0000], [0.0000, 0.0000, 5.0818]], "species": ["Bi", "Ho", "Mg", "Ho"], "fractional_positions": [[0.5000, 0.5000, 0.5000], [0.0000, 0.5000, 0.0000], [0.5000, 0.0000, 0.0000], [0.0000, 0.0000, 0.5000]]}

=====

{"formula": "Th2AlZn7", "functional": "PBE-GGA", "state": "optimized geometry", "formation_enthalpy_0k_ev_per_atom": -0.310, "lattice_angstrom": [[-1.7148, -3.8745, -0.3845], [2.2478, -0.6421, -3.5546], [7.8595, -4.0442, 5.7006]], "species": ["Th", "Al", "Zn", "Zn", "Zn", "Zn", "Th", "Zn", "Zn", "Zn"], "fractional_positions": [[0.0000, 0.5000, 0.2540], [0.5000, 0.5000, 0.0000], [0.0000, 0.5000, 0.6310], [0.0000, 0.0000, 0.0000], [0.0000, 0.5000, 0.8633], [0.5000, 0.0000, 0.1367], [0.5000, 0.0000, 0.7460], [0.5000, 0.0000, 0.3690], [0.0000, 0.0000, 0.5000], [0.5000, 0.5000, 0.5000]]}

=====

{"formula": "AlCd2BN", "functional": "PBE-GGA", "state": "optimized geometry", "e_form_raw_ev_per_atom": 1.64, "lattice_angstrom": [[5.3276, 0.0000, 0.0000], [0.0000, 3.9846, 0.0000], [0.0000, 0.0000, 5.3276]], "species": ["Cd", "Al", "N", "Cd", "B"], "fractional_positions": [[0.0000, 0.0000, 0.5000], [0.0000, 0.0000, 0.0000], [0.5000, 0.5000, 0.5000], [0.5000, 0.0000, 0.0000], [0.0000, 0.5000, 0.0000]]}

=====

{"formula": "K3ErPu2Se6", "functional": "PBE-GGA", "state": "optimized geometry", "e_form_raw_ev_per_atom": -1.55, "lattice_angstrom": [[-0.9443, 0.4484, 7.2871], [6.7073, -1.2293, -2.7740], [-0.6634, 7.8045, -1.8059]], "species": ["Se", "Pu", "Pu", "K", "Se", "Se", "Se", "Se", "Er", "K", "K", "Se"], "fractional_positions": [[0.6029, 0.9318, 0.7953], [0.6666, 0.3334, 0.0000], [0.3334, 0.6666, 0.0000], [0.1674, 0.8326, 0.5000], [0.3971, 0.0682, 0.2047], [0.2606, 0.2606, 0.7953], [0.0682, 0.3971, 0.2047], [0.9318, 0.6029, 0.7953], [0.0000, 0.0000, 0.0000], [0.8326, 0.1674, 0.5000], [0.5000, 0.5000, 0.5000], [0.7394, 0.7394, 0.2047]]}

=====

{"formula": "KHfTe3", "functional": "PBE-GGA", "state": "optimized geometry", "e_form_raw_ev_per_atom": -0.70, "e_above_lowest_polymorph_ev_per_atom": 0.072, "lattice_angstrom": [[-5.4858, -1.1571, 0.7301], [0.8739, -0.6422, 5.5488], [-1.0527, 5.4968, 0.8020]], "species": ["Te", "Te", "Te", "Hf", "K"], "fractional_positions": [[0.5000, 0.0000, 0.0000], [0.0000, 0.0000, 0.5000], [0.0000, 0.5000, 0.0000], [0.0000, 0.0000, 0.0000], [0.5000, 0.5000, 0.5000]]}